TmI3 PBE relaxed; uncorrected energy = -3.4258 eV per atom; total magnetic moment = 0.00 Bohr magnetons per cell; space group = P2_1/c; mass density = 4417 kg/m3
1.0
10.5459 0.0000 0.0000
0.0000 6.4391 0.0000
-3.7799 0.0000 12.1729
Tm I
4 12
Direct
0.2034 0.9995 0.0500 Tm
0.2034 0.5005 0.5500 Tm
0.7966 0.0005 0.9500 Tm
0.7966 0.4995 0.4500 Tm
0.0000 0.2327 0.1198 I
0.0000 0.2673 0.6198 I
0.0000 0.7327 0.3802 I
0.0000 0.7673 0.8802 I
0.3376 0.7325 0.2181 I
0.3376 0.7675 0.7181 I
0.3393 0.2330 0.4496 I
0.3393 0.2670 0.9496 I
0.6607 0.7330 0.0504 I
0.6607 0.7670 0.5504 I
0.6624 0.2325 0.2819 I
0.6624 0.2675 0.7819 I